# 1
This record from Alexandria via LeMat-Bulk describes crystalline NiAgRu2 at its relaxed geometry. The functional is GGA-PBE.

Values from the calculation:
Calculated total energy   -6.5439 eV per atom
E above lowest polymorph   0.000 eV/atom
Formation enthalpy at 0 K   1.0 eV/f.u.
Density   10.73 g/cm³

a b c (Å): 2.735 2.735 7.624
angles (deg): 90.00 90.00 90.00
Fractional positions:
Ag 0.000 0.000 0.512
Ni 0.500 0.500 0.767
Ru 0.000 0.000 0.997
Ru 0.500 0.500 0.224

***

# 2
This record from Alexandria via LeMat-Bulk describes crystalline NiAgRu2 at its relaxed geometry. The functional is GGA-PBE.

Values from the calculation:
Calculated total energy   -6.3582 eV per atom
E above lowest polymorph   0.186 eV/atom
Formation enthalpy at 0 K   1.8 eV/f.u.
Density   10.91 g/cm³

a b c (Å): 4.688 4.688 4.688
angles (deg): 131.79 131.79 70.55
Fractional positions:
Ag 0.500 0.500 0.000
Ni 0.750 0.250 0.500
Ru 0.000 0.000 0.000
Ru 0.250 0.750 0.500

***

# 3
This record from Alexandria via LeMat-Bulk describes crystalline NiAgRu2 at its relaxed geometry. The functional is GGA-PBE.

Values from the calculation:
Calculated total energy   -6.3058 eV per atom
E above lowest polymorph   0.238 eV/atom
Formation enthalpy at 0 K   2.0 eV/f.u.
Density   10.60 g/cm³

a b c (Å): 2.648 2.648 9.228
angles (deg): 90.00 90.00 116.84
Fractional positions:
Ag 0.500 0.500 0.250
Ni 0.500 0.500 0.750
Ru 0.000 0.000 0.977
Ru 0.000 0.000 0.523

***

# 4
This record from Alexandria via LeMat-Bulk describes crystalline Ni2AgRu at its relaxed geometry. The functional is GGA-PBE.

Values from the calculation:
Calculated total energy   -5.6879 eV per atom
E above lowest polymorph   0.035 eV/atom
Formation enthalpy at 0 K   0.9 eV/f.u.
Density   10.04 g/cm³

a b c (Å): 8.775 8.775 8.775
angles (deg): 17.61 17.61 17.61
Fractional positions:
Ag 0.750 0.750 0.750
Ni 0.995 0.995 0.995
Ni 0.505 0.505 0.505
Ru 0.250 0.250 0.250